(1)
PBE-GGA EuTaC2, relaxed; energy relative to the elements = -0.07 eV/atom
1.0
3.310 0.000 0.000
1.655 2.866 0.000
1.655 0.955 5.830
C Eu Ta
2 1 1
direct
0.265 0.265 0.204
0.735 0.735 0.796
0.500 0.500 0.500
0.000 0.000 0.000

---

(2)
PBE-GGA Tb2EuC, relaxed; energy relative to the elements = -0.14 eV/atom
1.0
-0.439 2.465 -2.638
-0.277 -1.073 -3.464
-9.784 -0.199 -1.064
Tb Eu C
2 1 1
direct
0.714 0.714 0.859
0.286 0.286 0.141
0.500 0.500 0.500
0.000 0.000 0.000

---

(3)
PBE-GGA EuTh3C, relaxed; energy relative to the elements = -0.02 eV/atom
1.0
-2.574 -0.008 -4.510
1.340 -4.960 -0.756
-4.307 -1.539 2.461
Th C Eu
3 1 1
direct
0.500 0.000 0.000
0.000 0.500 0.000
0.000 0.000 0.500
0.000 0.000 0.000
0.500 0.500 0.500

---

(4)
PBE-GGA EuThC, relaxed; distance to the lowest polymorph of the same formula = 310 meV per atom; energy relative to the elements = 0.25 eV/atom
1.0
3.346 0.000 0.000
0.000 3.346 0.000
-1.673 -1.673 6.420
Eu Th C
1 1 1
direct
0.960 0.960 0.921
0.731 0.731 0.461
0.309 0.309 0.618

---

(5)
PBE-GGA EuThC, relaxed; distance to the lowest polymorph of the same formula = 0 meV per atom; energy relative to the elements = -0.06 eV/atom
1.0
3.720 0.000 0.000
-1.860 3.221 0.000
0.000 0.000 6.540
Eu C Th
1 1 1
direct
0.000 0.000 0.097
0.667 0.333 0.362
0.333 0.667 0.541

---

(6)
PBE-GGA EuTmC, relaxed; energy relative to the elements = -0.06 eV/atom
1.0
-1.576 -3.100 1.088
1.676 0.156 -3.232
5.559 -1.845 2.794
Tm Eu C
1 1 1
direct
0.333 0.667 0.529
0.000 0.000 0.111
0.667 0.333 0.360

---

(7)
PBE-GGA Eu2Tm4C, relaxed; energy relative to the elements = 0.09 eV/atom
1.0
4.892 0.000 0.000
0.000 4.892 0.000
2.446 2.446 9.380
Tm Eu C
4 2 1
direct
0.500 0.000 0.000
0.876 0.876 0.247
0.000 0.500 0.000
0.124 0.124 0.753
0.324 0.324 0.353
0.676 0.676 0.647
0.000 0.000 0.000

---

(8)
PBE-GGA EuUC, relaxed; energy relative to the elements = 0.35 eV/atom
1.0
-2.537 0.454 -1.807
1.234 -1.879 -2.204
-2.093 -4.171 4.632
Eu C U
1 1 1
direct
0.967 0.967 0.934
0.304 0.304 0.608
0.729 0.729 0.459

---

(9)
PBE-GGA EuUC2, relaxed; energy relative to the elements = -0.01 eV/atom
1.0
-0.972 0.630 -3.449
2.292 -0.798 -2.711
-1.851 -5.470 -2.396
C U Eu
2 1 1
direct
0.728 0.728 0.815
0.272 0.272 0.185
0.000 0.000 0.000
0.500 0.500 0.500

---

(10)
PBE-GGA EuVC2, relaxed; energy relative to the elements = 0.23 eV/atom
1.0
3.195 0.000 0.000
1.598 2.767 0.000
1.598 0.922 5.650
V C Eu
1 2 1
direct
0.000 0.000 0.000
0.270 0.270 0.190
0.730 0.730 0.810
0.500 0.500 0.500

---

(11)
PBE-GGA EuY3C, relaxed; energy relative to the elements = 0.01 eV/atom
1.0
-1.419 4.845 0.881
-3.898 -1.665 2.879
3.009 0.127 4.146
Eu C Y
1 1 3
direct
0.500 0.500 0.500
0.000 0.000 0.000
0.000 0.500 0.000
0.000 0.000 0.500
0.500 0.000 0.000

---

(12)
PBE-GGA EuYC, relaxed; energy relative to the elements = -0.04 eV/atom
1.0
6.570 0.000 0.000
0.000 3.687 0.000
0.000 -1.844 3.193
Eu Y C
1 1 1
direct
0.220 0.333 0.667
0.803 0.667 0.333
0.977 0.000 0.000

---

(13)
PBE-GGA EuY2C, relaxed; energy relative to the elements = -0.16 eV/atom
1.0
-0.465 -3.345 -1.364
1.896 -1.054 -2.926
7.433 -4.755 4.262
Y C Eu
2 1 1
direct
0.287 0.287 0.140
0.713 0.713 0.860
0.000 0.000 0.000
0.500 0.500 0.500